# 1
The following is a meta-GGA SCAN calculation of MgTl2In at its PBEsol-relaxed geometry, from the Alexandria database.

Structure (CIF):
```
data_MgTl2In
_space_group_name_H-M_alt 'P 4 m m'
_space_group_IT_number 99
_cell_length_a 3.373
_cell_length_b 3.373
_cell_length_c 9.006
_cell_angle_alpha 90.00
_cell_angle_beta 90.00
_cell_angle_gamma 90.00
loop_
_space_group_symop_operation_xyz
'x,y,z'
'-y,x,z'
'-x,-y,z'
'y,-x,z'
'-x,y,z'
'y,x,z'
'x,-y,z'
'-y,-x,z'
loop_
_atom_site_label
_atom_site_fract_x
_atom_site_fract_y
_atom_site_fract_z
Mg1 0.000 0.000 0.000
Tl1 0.000 0.000 0.513
Tl2 0.500 0.500 0.233
In1 0.500 0.500 0.777
```

## Properties
formation energy = -48 meV/atom



# 2
The following is a meta-GGA SCAN calculation of ZnCdP2Cl at its PBEsol-relaxed geometry, from the Alexandria database.

Structure (CIF):
```
data_ZnCdP2Cl
_space_group_name_H-M_alt 'P 4/m m m'
_space_group_IT_number 123
_space_group_name_Hall '-P 4 2'
_cell_length_a 4.597
_cell_length_b 4.597
_cell_length_c 4.918
_cell_angle_alpha 90.00
_cell_angle_beta 90.00
_cell_angle_gamma 90.00
loop_
_atom_site_label
_atom_site_fract_x
_atom_site_fract_y
_atom_site_fract_z
Zn1 0.000 0.000 0.000
Cd1 0.500 0.500 0.500
P1 0.000 0.500 0.000
Cl1 0.000 0.000 0.500
```

## Properties
energy relative to the elements, uncorrected = 238 kJ/mol of formula units



# 3
The following is a meta-GGA SCAN calculation of Be2AlBiIr at its PBEsol-relaxed geometry, from the Alexandria database.

Structure (CIF):
```
data_Be2AlBiIr
_space_group_name_H-M_alt 'P 4/m m m'
_space_group_IT_number 123
_space_group_name_Hall '-P 4 2'
_cell_length_a 4.440
_cell_length_b 4.440
_cell_length_c 5.249
_cell_angle_alpha 90.00
_cell_angle_beta 90.00
_cell_angle_gamma 90.00
loop_
_atom_site_label
_atom_site_fract_x
_atom_site_fract_y
_atom_site_fract_z
Be1 0.000 0.500 0.000
Al1 0.000 0.000 0.500
Bi1 0.500 0.500 0.000
Ir1 0.500 0.500 0.500
```

## Properties
formation energy = 1582 meV/atom



# 4
The following is a meta-GGA SCAN calculation of YNi2Sb at its PBEsol-relaxed geometry, from the Alexandria database.

Structure (CIF):
```
data_YNi2Sb
_space_group_name_H-M_alt 'P 4/m m m'
_space_group_IT_number 123
_space_group_name_Hall '-P 4 2'
_cell_length_a 4.298
_cell_length_b 4.298
_cell_length_c 3.638
_cell_angle_alpha 90.00
_cell_angle_beta 90.00
_cell_angle_gamma 90.00
loop_
_atom_site_label
_atom_site_fract_x
_atom_site_fract_y
_atom_site_fract_z
Y1 0.000 0.000 0.000
Ni1 0.000 0.500 0.500
Sb1 0.500 0.500 0.000
```

## Properties
energy relative to the elements, uncorrected = -127 kJ/mol of formula units



# 5
The following is a meta-GGA SCAN calculation of KCrRe2P at its PBEsol-relaxed geometry, from the Alexandria database.

Structure (CIF):
```
data_KCrRe2P
_space_group_name_H-M_alt 'P 4/m m m'
_space_group_IT_number 123
_space_group_name_Hall '-P 4 2'
_cell_length_a 4.409
_cell_length_b 4.409
_cell_length_c 5.010
_cell_angle_alpha 90.00
_cell_angle_beta 90.00
_cell_angle_gamma 90.00
loop_
_atom_site_label
_atom_site_fract_x
_atom_site_fract_y
_atom_site_fract_z
K1 0.000 0.000 0.000
Cr1 0.000 0.000 0.500
Re1 0.000 0.500 0.500
P1 0.500 0.500 0.000
```

## Properties
formation energy = 2048 meV/atom



# 6
The following is a meta-GGA SCAN calculation of CsCa2Hg2 at its PBEsol-relaxed geometry, from the Alexandria database.

Structure (CIF):
```
data_CsCa2Hg2
_space_group_name_H-M_alt 'I 4/m m m'
_space_group_IT_number 139
_space_group_name_Hall '-I 4 2'
_cell_length_a 5.781
_cell_length_b 5.781
_cell_length_c 11.950
_cell_angle_alpha 90.00
_cell_angle_beta 90.00
_cell_angle_gamma 90.00
loop_
_atom_site_label
_atom_site_fract_x
_atom_site_fract_y
_atom_site_fract_z
Cs1 0.000 0.000 0.000
Ca1 0.000 0.000 0.338
Hg1 0.000 0.500 0.250
```

## Properties
formation energy = -264 meV/atom



# 7
The following is a meta-GGA SCAN calculation of CuHgBiAs2 at its PBEsol-relaxed geometry, from the Alexandria database.

Structure (CIF):
```
data_CuHgBiAs2
_space_group_name_H-M_alt 'P 4/m m m'
_space_group_IT_number 123
_space_group_name_Hall '-P 4 2'
_cell_length_a 5.495
_cell_length_b 5.495
_cell_length_c 4.799
_cell_angle_alpha 90.00
_cell_angle_beta 90.00
_cell_angle_gamma 90.00
loop_
_atom_site_label
_atom_site_fract_x
_atom_site_fract_y
_atom_site_fract_z
Cu1 0.000 0.000 0.000
Hg1 0.500 0.500 0.000
Bi1 0.000 0.000 0.500
As1 0.000 0.500 0.500
```

## Properties
formation energy = 1025 meV/atom



# 8
The following is a meta-GGA SCAN calculation of Li3CoN at its PBEsol-relaxed geometry, from the Alexandria database.

Structure (CIF):
```
data_Li3CoN
_space_group_name_H-M_alt 'P m -3 m'
_space_group_IT_number 221
_space_group_name_Hall '-P 4 2 3'
_cell_length_a 4.434
_cell_length_b 4.434
_cell_length_c 4.434
_cell_angle_alpha 90.00
_cell_angle_beta 90.00
_cell_angle_gamma 90.00
loop_
_atom_site_label
_atom_site_fract_x
_atom_site_fract_y
_atom_site_fract_z
Li1 0.000 0.000 0.500
Co1 0.000 0.000 0.000
N1 0.500 0.500 0.500
```

## Properties
energy relative to the elements, uncorrected = 659 kJ/mol of formula units